No. 1
Ir3RhBr: relaxed, GGA-PBE.

The structure in extended XYZ format:
```
5
Lattice="-1.4768 -3.4174 -2.6575 4.0060 -2.1430 0.5296 -1.6408 -2.1565 3.6849" Properties=species:S:1:pos:R:3 pbc="T T T"
Ir 2.0030 -1.0715 0.2648
Ir -0.8204 -1.0783 1.8425
Ir -0.7384 -1.7087 -1.3287
Rh 0.4442 -3.8585 0.7785
Br 0.0000 0.0000 0.0000
```

As for the polymorph energy (0 for the lowest one): 0.0 meV per atom. The calculation puts the energy relative to the elements, uncorrected at 2.049 eV/atom. For the volume, the calculation gives 95.7 Å³ per cell. The calculation puts the total magnetic moment at 3.2 μB per cell. As for the crystal system: cubic. For the raw total energy, the calculation gives -0.1864 Ha/atom. As for the space group: Pm-3m, No. 221.



No. 2
Mg3As: relaxed, GGA-PBE.

The structure in extended XYZ format:
```
16
Lattice="6.0972 0.0000 0.0000 -3.0486 5.2803 0.0000 0.0000 0.0000 10.2409" Properties=species:S:1:pos:R:3 pbc="T T T"
As 0.0000 0.0000 0.0000
As 0.0000 0.0000 5.1204
As 0.0000 3.5202 2.5602
As 3.0486 1.7601 7.6807
Mg 3.0486 0.0000 0.0000
Mg 3.0486 0.0000 5.1204
Mg -1.5243 2.6402 0.0000
Mg 1.5243 2.6402 0.0000
Mg 1.5243 2.6402 5.1204
Mg -1.5243 2.6402 5.1204
Mg 3.0486 3.5317 2.5602
Mg 0.0000 1.7487 7.6807
Mg 1.5144 0.8743 2.5602
Mg 4.5828 0.8743 2.5602
Mg -1.5342 4.4060 7.6807
Mg 1.5342 4.4060 7.6807
```

For the volume, the calculation gives 329.7 Å³ per cell. The calculation puts the total magnetic moment at 0.0 μB per cell. The calculated formation energy is -0.186 eV per atom. As for the crystal system: hexagonal. For the raw total energy, the calculation gives -0.0935 Ha/atom. As for the space group: P6_3/mmc, No. 194.